Computed, not measured: crystalline MnGaH at its relaxed geometry at the PBE level of DFT.

a = 6.552 Å, b = 5.247 Å, c = 4.342 Å
α = 90.00°, β = 103.24°, γ = 90.00°
Space group P2_1/c (No. 14)
Symmetry-distinct sites (fractional):
Mn (0.022, 0.125, 0.260) x4
Ga (0.327, 0.088, 0.001) x4
H (0.139, 0.645, 0.968) x4

Energy above the most stable polymorph in this dataset in meV/atom: 91.1


Computed, not measured: crystalline LiSb2Au2 at its relaxed geometry at the PBE level of DFT.

a = 4.638 Å, b = 4.638 Å, c = 11.932 Å
α = 90.00°, β = 90.00°, γ = 90.00°
Space group I4/mmm (No. 139)
Symmetry-distinct sites (fractional):
Li (0.000, 0.000, 0.000) x2
Sb (0.000, 0.000, 0.381) x4
Au (0.000, 0.500, 0.250) x4

Energy above the most stable polymorph in this dataset in meV/atom: 175.2
Raw formation energy in eV per atom: -0.083


Computed, not measured: crystalline LiHoPaRh at its relaxed geometry at the PBE level of DFT.

a = 6.947 Å, b = 6.947 Å, c = 6.947 Å
α = 90.00°, β = 90.00°, γ = 90.00°
Space group F-43m (No. 216)
Symmetry-distinct sites (fractional):
Li (0.000, 0.000, 0.000) x4
Ho (0.250, 0.250, 0.250) x4
Pa (0.250, 0.250, 0.750) x4
Rh (0.000, 0.000, 0.500) x4

Energy of formation from the pure elements in eV/atom: -0.17


Computed, not measured: crystalline In2CoBH at its relaxed geometry at the PBE level of DFT.

a = 4.636 Å, b = 4.636 Å, c = 3.794 Å
α = 90.00°, β = 90.00°, γ = 90.00°
Space group P4/mmm (No. 123)
Symmetry-distinct sites (fractional):
In (0.000, 0.500, 0.000) x2
Co (0.000, 0.000, 0.500) x1
B (0.000, 0.000, 0.000) x1
H (0.500, 0.500, 0.500) x1

Energy above the most stable polymorph in this dataset in meV/atom: 120.0


Computed, not measured: crystalline HfNpZnO6 at its relaxed geometry at the PBE level of DFT.

a = 5.5023 Å, b = 5.5023 Å, c = 8.9647 Å
α = 90.00°, β = 90.00°, γ = 120.00°
Space group P-31c (No. 163)
Symmetry-distinct sites (fractional):
Hf (0.3333, 0.6667, 0.2500) x2
Np (0.3333, 0.6667, 0.7500) x2
Zn (0.0000, 0.0000, 0.0000) x2
O (0.0021, 0.3469, 0.6324) x12

Raw formation energy in eV per atom: -2.564


Computed, not measured: crystalline AgAsIr at its relaxed geometry at the PBE level of DFT.

a = 2.993 Å, b = 2.993 Å, c = 6.070 Å
α = 90.00°, β = 90.00°, γ = 90.00°
Space group P4mm (No. 99)
Symmetry-distinct sites (fractional):
Ag (0.000, 0.000, 0.000) x1
As (0.000, 0.000, 0.437) x1
Ir (0.500, 0.500, 0.660) x1

Energy above the most stable polymorph in this dataset in meV/atom: 0.0
Energy of formation from the pure elements in eV/atom: 0.01


Computed, not measured: crystalline La2Dy2YTm at its relaxed geometry at the PBE level of DFT.

a = 7.089 Å, b = 5.678 Å, c = 9.888 Å
α = 90.00°, β = 90.00°, γ = 90.00°
Space group Pmma (No. 51)
Symmetry-distinct sites (fractional):
La (0.000, 0.000, 0.000) x2
La (0.250, 0.500, 0.175) x2
Dy (0.250, 0.000, 0.335) x2
Dy (0.250, 0.500, 0.833) x2
Y (0.000, 0.500, 0.500) x2
Tm (0.250, 0.000, 0.659) x2

Energy of formation from the pure elements in eV/atom: 0.07


Computed, not measured: crystalline Sr2Li5Mg at its relaxed geometry at the PBE level of DFT.

a = 5.925 Å, b = 6.735 Å, c = 6.982 Å
α = 66.27°, β = 79.37°, γ = 65.59°
Space group P1 (No. 1)
Symmetry-distinct sites (fractional):
Sr (0.000, 0.000, 0.000) x1
Sr (0.333, 0.494, 0.756) x1
Li (0.343, 0.374, 0.298) x1
Li (0.459, 0.940, 0.260) x1
Li (0.562, 0.947, 0.672) x1
Li (0.864, 0.565, 0.499) x1
Li (0.951, 0.128, 0.452) x1
Mg (0.745, 0.562, 0.073) x1

Energy of formation from the pure elements in eV/atom: 0.04


Computed, not measured: crystalline CsNbIn2Sb at its relaxed geometry at the PBE level of DFT.

a = 5.562 Å, b = 5.562 Å, c = 6.123 Å
α = 90.00°, β = 90.00°, γ = 90.00°
Space group P4/mmm (No. 123)
Symmetry-distinct sites (fractional):
Cs (0.000, 0.000, 0.000) x1
Nb (0.000, 0.000, 0.500) x1
In (0.000, 0.500, 0.500) x2
Sb (0.500, 0.500, 0.000) x1

Raw formation energy in eV per atom: 0.924


Computed, not measured: crystalline NaCr2Br at its relaxed geometry at the PBE level of DFT.

a = 7.229 Å, b = 7.229 Å, c = 7.229 Å
α = 90.00°, β = 90.00°, γ = 90.00°
Space group Fm-3m (No. 225)
Symmetry-distinct sites (fractional):
Na (0.000, 0.000, 0.000) x4
Cr (0.250, 0.250, 0.250) x8
Br (0.000, 0.000, 0.500) x4

Energy above the most stable polymorph in this dataset in meV/atom: 30.7
Raw formation energy in eV per atom: 0.883


Computed, not measured: crystalline RbLiTe at its relaxed geometry at the PBE level of DFT.

a = 4.7752 Å, b = 4.7752 Å, c = 5.3434 Å
α = 90.00°, β = 90.00°, γ = 120.00°
Space group P-6m2 (No. 187)
Symmetry-distinct sites (fractional):
Rb (0.0000, 0.0000, 0.0000) x1
Li (0.3333, 0.6667, 0.5000) x1
Te (0.6667, 0.3333, 0.5000) x1

Raw formation energy in eV per atom: -1.006


Computed, not measured: crystalline Na2Hg3S4 at its relaxed geometry at the PBE level of DFT.

a = 10.214 Å, b = 13.954 Å, c = 7.284 Å
α = 90.00°, β = 95.70°, γ = 90.00°
Space group C2/c (No. 15)
Symmetry-distinct sites (fractional):
Na (0.183, 0.115, 0.342) x8
Hg (0.000, 0.178, 0.750) x4
Hg (0.121, 0.357, 0.052) x8
S (0.092, 0.290, 0.499) x8
S (0.167, 0.075, 0.957) x8

Energy above the most stable polymorph in this dataset in meV/atom: 25.7
Raw formation energy in eV per atom: -0.459


Computed, not measured: crystalline Ta2MnS5 at its relaxed geometry at the PBE level of DFT.

a = 4.630 Å, b = 11.933 Å, c = 12.627 Å
α = 90.00°, β = 90.00°, γ = 90.00°
Space group Cmcm (No. 63)
Symmetry-distinct sites (fractional):
Ta (0.000, 0.114, 0.055) x8
Mn (0.000, 0.225, 0.750) x4
S (0.000, 0.064, 0.628) x8
S (0.000, 0.204, 0.250) x4
S (0.000, 0.323, 0.546) x8

Energy above the most stable polymorph in this dataset in meV/atom: 0.0
Raw formation energy in eV per atom: -0.688


In order of appearance, calculated density = 5.74; 8.34; 10.02; 6.12; 8.15; 11.46; 7.18; 1.68; 5.06; 3.64; 3.46; 4.99; 5.49 g/cm3.
In order of appearance, spin magnetization = 1.577; 0.000; 0.569; 1.027; 1.000; 0.000; 0.000; 0.000; 2.550; 9.982; 0.000; 0.000; 4.512 μB/f.u..